Density functional theory data (GGA+U) for an optimized crystal structure of Ca3MoF.

Computed properties:
polymorph energy (0 for the lowest one) = 1006.6 meV per atom
space group = Pm-3m
DOS(E_F) = 4.000 states/eV/f.u.
raw total energy = -2.672 eV per atom

Lattice parameters (Å, degrees): 6.172 6.172 6.172 90.00 90.00 90.00
Atoms (fractional coordinates):
Ca 0.000 0.000 0.500
Ca 0.500 0.000 0.000
Ca 0.000 0.500 0.000
Mo 0.000 0.000 0.000
F 0.500 0.500 0.500